# 1
## NdSmErTh2 (PBE-GGA)

Data for an optimized crystal structure of NdSmErTh2.

Cell: 8.541 8.541 6.709 Å, 90.00 90.00 133.84°
Element x y z (fractional)
Nd (0.152, 0.848, 0.750)
Nd (0.848, 0.152, 0.250)
Sm (0.261, 0.739, 0.250)
Sm (0.739, 0.261, 0.750)
Er (0.349, 0.651, 0.750)
Er (0.651, 0.349, 0.250)
Th (0.253, 0.253, 0.000)
Th (0.253, 0.253, 0.500)
Th (0.747, 0.747, 0.000)
Th (0.747, 0.747, 0.500)

Output
symmetry	No. 63
DFT formation energy	0.389	eV per atom

# 2
## Cs2CuPbCl5 (PBE-GGA)

Data for an optimized crystal structure of Cs2CuPbCl5.

Cell: 10.278 10.278 14.373 Å, 90.00 90.00 156.06°
Element x y z (fractional)
Cs (0.117, 0.883, 0.500)
Cs (0.128, 0.872, 0.128)
Cs (0.872, 0.128, 0.628)
Cs (0.883, 0.117, 0.000)
Cu (0.468, 0.532, 0.256)
Cu (0.532, 0.468, 0.756)
Pb (0.198, 0.802, 0.818)
Pb (0.802, 0.198, 0.318)
Cl (0.041, 0.959, 0.822)
Cl (0.298, 0.702, 0.457)
Cl (0.304, 0.696, 0.177)
Cl (0.336, 0.664, 0.816)
Cl (0.496, 0.504, 0.104)
Cl (0.504, 0.496, 0.604)
Cl (0.664, 0.336, 0.316)
Cl (0.696, 0.304, 0.677)
Cl (0.702, 0.298, 0.957)
Cl (0.959, 0.041, 0.322)

Output
raw formation energy	-1.37	eV per atom
symmetry	No. 36

Number 1: volume 353.0 Å³ per cell. Number 2: volume 616.0 Å³ per cell.